Entry 1:
DFT (GGA-PBE) results for crystalline AuICl3 at its relaxed geometry.

## Properties
Theoretical density in g/cm³: 3.76
Energy above the most stable polymorph in this dataset in meV/atom: 0
Calculated volume in Å³/cell: 759.76
Total magnetization in μB/cell: 0.00
ΔE_f (raw) in meV/atom: -169
Crystal system: triclinic

abc: 4.8605 11.6367 14.4981
angles: 109.61 94.22 97.51
With the nearest neighbours (Å) after each atom.
Space group P-1 (No. 2)
One atom of each set of equivalent atoms:
Au (0.0438, 0.2207, 0.3957)  3 Cl 2.32-2.42
Au (0.3908, 0.3248, 0.6563)  2 Cl 2.27-2.32
I (0.1613, 0.9965, 0.7393)  1 Cl 2.37, 1 Au 2.64
I (0.3831, 0.5532, 0.8226)  1 Cl 2.39
Cl (0.0327, 0.9861, 0.1121)  1 I 2.37
Cl (0.1763, 0.3990, 0.5445)  2 Au 2.32-2.41
Cl (0.2823, 0.9055, 0.5446)  1 Au 2.42
Cl (0.3180, 0.3148, 0.3081)  1 Au 2.32
Cl (0.3402, 0.7445, 0.9469)  1 I 2.39
Cl (0.3948, 0.7506, 0.2376)  1 Au 2.27

Entry 2:
DFT (GGA-PBE) results for crystalline Au3I2Cl4 at its relaxed geometry.

## Properties
Theoretical density in g/cm³: 5.30
Calculated volume in Å³/cell: 1235.61
Total magnetization in μB/cell: 0.00
ΔE_f (raw) in meV/atom: -167
Crystal system: monoclinic

abc: 11.9311 13.0768 8.5009
angles: 90.00 111.31 90.00
With the nearest neighbours (Å) after each atom.
Space group C2/c (No. 15)
One atom of each set of equivalent atoms:
Au (0.0000, 0.0285, 0.2500)  2 I 2.62
Au (0.1248, 0.4195, 0.6363)  3 Cl 2.30-2.56
I (0.1600, 0.0451, 0.1073)  2 Au 2.62-2.74
Cl (0.0862, 0.4027, 0.0881)  2 Au 2.38-2.56
Cl (0.1527, 0.2456, 0.6672)  1 Au 2.30